(1)
The following is a DFT calculation (GGA-PBE) of a geometry-optimized NbTeSCl2 structure.

Properties
Formation energy without anion corrections (meV per atom): 783
Total energy (eV per cell): -17.118
Offset from the most stable computed form (meV/atom): 997.3

Unit cell a=5.224 b=5.224 c=5.327 alpha=90.00 beta=90.00 gamma=90.00
Space group P4/mmm (No. 123)
Unique sites:
Nb (0.000, 0.000, 0.000) [1 per cell]
Te (0.500, 0.500, 0.500) [1 per cell]
S (0.500, 0.500, 0.000) [1 per cell]
Cl (0.000, 0.500, 0.500) [2 per cell]

---

(2)
The following is a DFT calculation (GGA-PBE) of a geometry-optimized TiNbSCl2 structure.

Properties
Formation energy without anion corrections (meV per atom): -105
Total energy (eV per cell): -26.312
Offset from the most stable computed form (meV/atom): 24.6

Unit cell a=4.898 b=4.898 c=4.840 alpha=90.00 beta=90.00 gamma=90.00
Space group P4/mmm (No. 123)
Unique sites:
Ti (0.000, 0.000, 0.000) [1 per cell]
Nb (0.500, 0.500, 0.500) [1 per cell]
S (0.500, 0.500, 0.000) [1 per cell]
Cl (0.000, 0.500, 0.500) [2 per cell]

---

(3)
The following is a DFT calculation (GGA-PBE) of a geometry-optimized TiNbSCl2 structure.

Properties
Formation energy without anion corrections (meV per atom): -130
Total energy (eV per cell): -26.435
Offset from the most stable computed form (meV/atom): 0.0

Unit cell a=4.691 b=4.691 c=4.900 alpha=90.00 beta=90.00 gamma=90.00
Space group P4/mmm (No. 123)
Unique sites:
Ti (0.000, 0.000, 0.000) [1 per cell]
Nb (0.500, 0.500, 0.500) [1 per cell]
S (0.000, 0.000, 0.500) [1 per cell]
Cl (0.000, 0.500, 0.000) [2 per cell]

---

(4)
The following is a DFT calculation (GGA-PBE) of a geometry-optimized Ti2NbSCl structure.

Properties
Formation energy without anion corrections (meV per atom): 456
Total energy (eV per cell): -29.553

Unit cell a=4.962 b=4.962 c=4.642 alpha=90.00 beta=90.00 gamma=90.00
Space group P4/mmm (No. 123)
Unique sites:
Ti (0.000, 0.500, 0.000) [2 per cell]
Nb (0.000, 0.000, 0.000) [1 per cell]
S (0.000, 0.000, 0.500) [1 per cell]
Cl (0.500, 0.500, 0.500) [1 per cell]

---

(5)
The following is a DFT calculation (GGA-PBE) of a geometry-optimized NbTlSCl2 structure.

Properties
Formation energy without anion corrections (meV per atom): -775
Total energy (eV per cell): -24.131
Offset from the most stable computed form (meV/atom): 0.0

Unit cell a=5.147 b=5.147 c=4.815 alpha=90.00 beta=90.00 gamma=90.00
Space group P4/mmm (No. 123)
Unique sites:
Nb (0.000, 0.000, 0.000) [1 per cell]
Tl (0.500, 0.500, 0.500) [1 per cell]
S (0.000, 0.000, 0.500) [1 per cell]
Cl (0.000, 0.500, 0.000) [2 per cell]

---

(6)
The following is a DFT calculation (GGA-PBE) of a geometry-optimized NbTl5S4Cl2 structure.

Properties
Formation energy without anion corrections (meV per atom): -754
Total energy (eV per cell): -102.306

Unit cell a=9.834 b=10.193 c=8.047 alpha=90.00 beta=90.00 gamma=90.00
Space group Amm2 (No. 38)
Unique sites:
Nb (0.000, 0.000, 0.000) [2 per cell]
Tl (0.240, 0.205, 0.547) [8 per cell]
Tl (0.500, 0.000, 0.072) [2 per cell]
S (0.000, 0.186, 0.840) [4 per cell]
S (0.192, 0.000, 0.163) [4 per cell]
Cl (0.500, 0.229, 0.814) [4 per cell]

---

(7)
The following is a DFT calculation (GGA-PBE) of a geometry-optimized NbTlSCl2 structure.

Properties
Formation energy without anion corrections (meV per atom): 578
Total energy (eV per cell): -17.368
Offset from the most stable computed form (meV/atom): 1352.5

Unit cell a=5.258 b=5.258 c=5.233 alpha=90.00 beta=90.00 gamma=90.00
Space group P4/mmm (No. 123)
Unique sites:
Nb (0.000, 0.000, 0.000) [1 per cell]
Tl (0.500, 0.500, 0.500) [1 per cell]
S (0.500, 0.500, 0.000) [1 per cell]
Cl (0.000, 0.500, 0.500) [2 per cell]

---

(8)
The following is a DFT calculation (GGA-PBE) of a geometry-optimized NbTl2SCl5 structure.

Properties
Formation energy without anion corrections (meV per atom): -1094
Total energy (eV per cell): -76.011

Unit cell a=6.937 b=6.937 c=10.798 alpha=90.00 beta=90.00 gamma=90.00
Space group I4mm (No. 107)
Unique sites:
Nb (0.000, 0.000, 0.000) [2 per cell]
Tl (0.000, 0.500, 0.244) [4 per cell]
S (0.000, 0.000, 0.206) [2 per cell]
Cl (0.000, 0.000, 0.752) [2 per cell]
Cl (0.244, 0.244, 0.973) [8 per cell]